Compound: HfNb2InN
Source: Alexandria
Functional: GGA-PBE
Structure: relaxed

Calculated values
**V**: 16.85 Å³ per atom
**Size of the total moment**: 0.0 Bohr magnetons per cell
**Crystal system**: tetragonal
**ΔE_f (raw)**: -0.5142 eV per atom

a = 4.281 Å, b = 4.281 Å, c = 4.599 Å
α = 90.00°, β = 90.00°, γ = 90.00°
Positions (direct):
Nb (0.000, 0.500, 0.000)
In (0.500, 0.500, 0.500)
N (0.000, 0.000, 0.000)
Hf (0.000, 0.000, 0.500)
Nb (0.500, 0.000, 0.000)